Here is crystalline TiAlIn2Si at its relaxed geometry from the Alexandria database. Energies are from GGA-PBE.

Raw total energy (eV for the cell shown): -19.45
Formation energy from raw total energies (meV/atom): 617.7
Symmetry: No. 123

Unit cell a=5.360 b=5.360 c=4.831 alpha=90.00 beta=90.00 gamma=90.00
Atoms (fractional coordinates):
Ti1 0.000 0.000 0.000
Al1 0.500 0.500 0.500
In1 0.000 0.500 0.000
In2 0.500 0.000 0.000
Si1 0.000 0.000 0.500